Below is a geometry-optimized La9Tb2Nd structure, with properties calculated at the GGA-PBE level.

Energy relative to the elements = 0.01 eV/atom
Symmetry = No. 123

a b c (Å): 5.220 5.220 15.675
angles (deg): 90.00 90.00 90.00
Positions (direct):
La 0.000 0.000 0.000
La 0.000 0.000 0.334
La 0.000 0.000 0.666
La 0.000 0.500 0.168
La 0.000 0.500 0.500
La 0.000 0.500 0.832
La 0.500 0.000 0.168
La 0.500 0.000 0.500
La 0.500 0.000 0.832
Tb 0.500 0.500 0.334
Tb 0.500 0.500 0.666
Nd 0.500 0.500 0.000